[1]
A plane-wave DFT calculation with GGA-PBE was carried out for TaCrCl2 after structural relaxation.

## Properties
The calculation puts the uncorrected formation energy at -0.10 eV per atom. The space-group type is No. 71. As for the density of states at the Fermi level: 0.50 states/eV/atom. For the energy above the most stable polymorph in this dataset, the calculation gives 295.4 meV per atom.

Structure (POSCAR):
```
TaCrCl2
1.0
3.1656 0.0000 0.0000
0.0000 4.2941 0.0000
0.0000 0.0000 14.3035
Ta Cr Cl
2 2 4
Direct
0.0000 0.0000 0.0000
0.5000 0.5000 0.5000
0.0000 0.0000 0.5000
0.5000 0.5000 0.0000
0.0000 0.5000 0.3625
0.0000 0.5000 0.6375
0.5000 0.0000 0.1375
0.5000 0.0000 0.8625
```

[2]
A plane-wave DFT calculation with GGA-PBE was carried out for Ca2Rh3 after structural relaxation.

## Properties
The space-group type is No. 164. The formation energy is -128.3 meV per atom. As for the density of states at the Fermi level: 0.59 states/eV/atom.

Structure (POSCAR):
```
Ca2Rh3
1.0
4.4748 0.0000 0.0000
-2.2374 3.8753 0.0000
0.0000 0.0000 6.2413
Ca Rh
2 3
Direct
0.3333 0.6667 0.1770
0.6667 0.3333 0.8230
0.0000 0.0000 0.5000
0.3333 0.6667 0.6054
0.6667 0.3333 0.3946
```

[3]
A plane-wave DFT calculation with GGA-PBE was carried out for Y2MgCdCo after structural relaxation.

## Properties
The space-group type is No. 123. The formation energy is -81.1 meV per atom. As for the density of states at the Fermi level: 0.66 states/eV/atom.

Structure (POSCAR):
```
Y2MgCdCo
1.0
5.0865 0.0000 0.0000
0.0000 5.0865 0.0000
0.0000 0.0000 4.9721
Y Mg Cd Co
2 1 1 1
Direct
0.0000 0.5000 0.0000
0.5000 0.0000 0.0000
0.0000 0.0000 0.5000
0.5000 0.5000 0.5000
0.0000 0.0000 0.0000
```

[4]
A plane-wave DFT calculation with GGA-PBE was carried out for HgHS4 after structural relaxation.

## Properties
The space-group type is No. 2. As for the electronic total energy: -3.32 eV per atom.

Structure (POSCAR):
```
HgHS4
1.0
5.3492 0.0000 0.0000
-2.5584 7.3974 0.0000
-1.1991 -0.4635 8.3115
Hg H S
2 2 8
Direct
0.2251 0.1875 0.1855
0.7749 0.8125 0.8145
0.2696 0.2872 0.7268
0.7304 0.7128 0.2732
0.0579 0.7779 0.0587
0.1830 0.4040 0.8061
0.2243 0.9382 0.5924
0.4514 0.7907 0.5672
0.5486 0.2093 0.4328
0.7757 0.0618 0.4076
0.8170 0.5960 0.1939
0.9421 0.2221 0.9413
```

[5]
A plane-wave DFT calculation with GGA-PBE was carried out for LiTcGe2 after structural relaxation.

## Properties
The space-group type is No. 122. The formation energy is 391.3 meV per atom. As for the density of states at the Fermi level: 0.38 states/eV/atom. For the energy above the most stable polymorph in this dataset, the calculation gives 573.8 meV per atom.

Structure (POSCAR):
```
LiTcGe2
1.0
4.9798 0.0000 0.0000
0.0000 4.9798 0.0000
0.0000 0.0000 15.5130
Li Tc Ge
4 4 8
Direct
0.0000 0.0000 0.0000
0.0000 0.5000 0.2500
0.5000 0.0000 0.7500
0.5000 0.5000 0.5000
0.0000 0.0000 0.5000
0.0000 0.5000 0.7500
0.5000 0.0000 0.2500
0.5000 0.5000 0.0000
0.1187 0.2500 0.6250
0.2500 0.6187 0.8750
0.2500 0.8813 0.3750
0.3813 0.2500 0.1250
0.6187 0.7500 0.1250
0.7500 0.1187 0.3750
0.7500 0.3813 0.8750
0.8813 0.7500 0.6250
```

[6]
A plane-wave DFT calculation with GGA-PBE was carried out for KSb2P2 after structural relaxation.

## Properties
The calculation puts the uncorrected formation energy at 0.09 eV per atom. The space-group type is No. 127. As for the density of states at the Fermi level: 0.46 states/eV/atom. For the energy above the most stable polymorph in this dataset, the calculation gives 163.6 meV per atom.

Structure (POSCAR):
```
KSb2P2
1.0
9.2808 0.0000 0.0000
0.0000 9.2808 0.0000
0.0000 0.0000 3.6964
K Sb P
2 4 4
Direct
0.0000 0.0000 0.0000
0.5000 0.5000 0.0000
0.1418 0.3582 0.0000
0.3582 0.8582 0.0000
0.6418 0.1418 0.0000
0.8582 0.6418 0.0000
0.2293 0.7293 0.5000
0.2707 0.2293 0.5000
0.7293 0.7707 0.5000
0.7707 0.2707 0.5000
```

[7]
A plane-wave DFT calculation with GGA-PBE was carried out for TaCr2Tc after structural relaxation.

## Properties
The space-group type is No. 47. The formation energy is -43.4 meV per atom. As for the density of states at the Fermi level: 0.51 states/eV/atom. For the energy above the most stable polymorph in this dataset, the calculation gives 14.9 meV per atom.

Structure (POSCAR):
```
TaCr2Tc
1.0
3.0689 0.0000 0.0000
0.0000 4.3074 0.0000
0.0000 0.0000 4.3186
Ta Cr Tc
1 2 1
Direct
0.0000 0.0000 0.0000
0.0000 0.5000 0.5000
0.5000 0.5000 0.0000
0.5000 0.0000 0.5000
```

[8]
A plane-wave DFT calculation with GGA-PBE was carried out for BaIr2 after structural relaxation.

## Properties
The space-group type is No. 194. The formation energy is 1106.0 meV per atom. As for the density of states at the Fermi level: 2.03 states/eV/atom.

Structure (POSCAR):
```
BaIr2
1.0
4.9822 0.0000 0.0000
-2.4911 4.3147 0.0000
0.0000 0.0000 6.0790
Ba Ir
2 4
Direct
0.3333 0.6667 0.2500
0.6667 0.3333 0.7500
0.0000 0.0000 0.0000
0.0000 0.0000 0.5000
0.3333 0.6667 0.7500
0.6667 0.3333 0.2500
```

[9]
A plane-wave DFT calculation with GGA-PBE was carried out for Zr6TlIr after structural relaxation.

## Properties
The space-group type is No. 148. The formation energy is -254.0 meV per atom. As for the density of states at the Fermi level: 1.25 states/eV/atom.

Structure (POSCAR):
```
Zr6TlIr
1.0
4.0258 2.3243 3.0542
-4.0258 2.3243 3.0542
0.0000 -4.6486 3.0542
Zr Tl Ir
6 1 1
Direct
0.0083 0.5290 0.7602
0.2398 0.9917 0.4710
0.4710 0.2398 0.9917
0.5290 0.7602 0.0083
0.7602 0.0083 0.5290
0.9917 0.4710 0.2398
0.5000 0.5000 0.5000
0.0000 0.0000 0.0000
```

[10]
A plane-wave DFT calculation with GGA-PBE was carried out for Pa3Ga4Tc after structural relaxation.

## Properties
The space-group type is No. 71. The formation energy is -91.2 meV per atom. As for the density of states at the Fermi level: 1.31 states/eV/atom.

Structure (POSCAR):
```
Pa3Ga4Tc
1.0
4.4352 0.0000 0.0000
0.0000 6.7141 0.0000
0.0000 0.0000 12.1064
Pa Ga Tc
6 8 2
Direct
0.0000 0.0000 0.0000
0.0000 0.5000 0.1517
0.0000 0.5000 0.8483
0.5000 0.0000 0.3483
0.5000 0.0000 0.6517
0.5000 0.5000 0.5000
0.0000 0.3039 0.3683
0.0000 0.3039 0.6317
0.0000 0.6961 0.3683
0.0000 0.6961 0.6317
0.5000 0.1961 0.1317
0.5000 0.1961 0.8683
0.5000 0.8039 0.1317
0.5000 0.8039 0.8683
0.0000 0.0000 0.5000
0.5000 0.5000 0.0000
```

[11]
A plane-wave DFT calculation with GGA-PBE was carried out for Hg5AuI after structural relaxation.

## Properties
The calculation puts the uncorrected formation energy at -0.03 eV per atom. The space-group type is No. 15. As for the density of states at the Fermi level: 0.17 states/eV/atom.

Structure (POSCAR):
```
Hg5AuI
1.0
5.7878 -3.5987 0.0000
5.7878 3.5987 0.0000
-5.5648 0.0000 9.7854
Hg Au I
10 2 2
Direct
0.0013 0.9987 0.7500
0.0859 0.5209 0.3968
0.1252 0.5170 0.9158
0.4791 0.9141 0.1032
0.4830 0.8748 0.5842
0.5170 0.1252 0.4158
0.5209 0.0859 0.8968
0.8748 0.4830 0.0842
0.9141 0.4791 0.6032
0.9987 0.0013 0.2500
0.0000 0.0000 0.0000
0.0000 0.0000 0.5000
0.4970 0.5030 0.2500
0.5030 0.4970 0.7500
```

[12]
A plane-wave DFT calculation with GGA-PBE was carried out for DyAsH after structural relaxation.

## Properties
The space-group type is No. 12. As for the density of states at the Fermi level: 0.07 states/eV/atom. For the energy above the most stable polymorph in this dataset, the calculation gives 0.0 meV per atom.

Structure (POSCAR):
```
DyAsH
1.0
10.3369 0.0000 0.0000
0.0000 3.8828 0.0000
-0.2501 0.0000 5.0436
Dy As H
4 4 4
Direct
0.1433 0.0000 0.2717
0.3567 0.5000 0.7283
0.6433 0.5000 0.2717
0.8567 0.0000 0.7283
0.0734 0.5000 0.8064
0.4266 0.0000 0.1936
0.5734 0.0000 0.8064
0.9266 0.5000 0.1936
0.2207 0.5000 0.3920
0.2793 0.0000 0.6080
0.7207 0.0000 0.3920
0.7793 0.5000 0.6080
```

[13]
A plane-wave DFT calculation with GGA-PBE was carried out for MgAl2Au after structural relaxation.

## Properties
The space-group type is No. 216. The formation energy is -143.7 meV per atom. As for the density of states at the Fermi level: 0.58 states/eV/atom.

Structure (POSCAR):
```
MgAl2Au
1.0
6.5604 0.0000 0.0000
0.0000 6.5604 0.0000
0.0000 0.0000 6.5604
Mg Al Au
4 8 4
Direct
0.0000 0.0000 0.0000
0.0000 0.5000 0.5000
0.5000 0.0000 0.5000
0.5000 0.5000 0.0000
0.0000 0.0000 0.5000
0.0000 0.5000 0.0000
0.2500 0.2500 0.2500
0.2500 0.7500 0.7500
0.5000 0.0000 0.0000
0.5000 0.5000 0.5000
0.7500 0.2500 0.7500
0.7500 0.7500 0.2500
0.2500 0.2500 0.7500
0.2500 0.7500 0.2500
0.7500 0.2500 0.2500
0.7500 0.7500 0.7500
```

[14]
A plane-wave DFT calculation with GGA-PBE was carried out for CrBr2Cl after structural relaxation.

## Properties
The calculation puts the uncorrected formation energy at 0.03 eV per atom. The space-group type is No. 65. As for the density of states at the Fermi level: 1.02 states/eV/atom. For the energy above the most stable polymorph in this dataset, the calculation gives 796.6 meV per atom.

Structure (POSCAR):
```
CrBr2Cl
1.0
5.0942 0.0000 0.0000
0.0000 7.9823 0.0000
0.0000 0.0000 5.4515
Cr Br Cl
2 4 2
Direct
0.0000 0.0000 0.0000
0.5000 0.5000 0.0000
0.2500 0.2500 0.5000
0.2500 0.7500 0.5000
0.7500 0.2500 0.5000
0.7500 0.7500 0.5000
0.0000 0.5000 0.0000
0.5000 0.0000 0.0000
```

[15]
A plane-wave DFT calculation with GGA-PBE was carried out for BaIn2BiSb after structural relaxation.

## Properties
The calculation puts the uncorrected formation energy at -0.30 eV per atom. The space-group type is No. 108. As for the density of states at the Fermi level: 0.63 states/eV/atom.

Structure (POSCAR):
```
BaIn2BiSb
1.0
-3.6290 3.6290 7.6181
3.6290 -3.6290 7.6181
3.6290 3.6290 -7.6181
Ba In Bi Sb
2 4 2 2
Direct
0.0000 0.0000 0.0000
0.5000 0.5000 0.0000
0.0375 0.5375 0.2147
0.3228 0.8228 0.7853
0.5375 0.3228 0.5000
0.8228 0.0375 0.5000
0.2558 0.2558 0.0000
0.7558 0.7558 0.0000
0.0085 0.5085 0.5000
0.5085 0.0085 0.5000
```

[16]
A plane-wave DFT calculation with GGA-PBE was carried out for CsLiAsSe2 after structural relaxation.

## Properties
The calculation puts the uncorrected formation energy at -0.10 eV per atom. The space-group type is No. 123. As for the density of states at the Fermi level: 0.91 states/eV/atom. For the energy above the most stable polymorph in this dataset, the calculation gives 481.5 meV per atom.

Structure (POSCAR):
```
CsLiAsSe2
1.0
5.1837 0.0000 0.0000
0.0000 5.1837 0.0000
0.0000 0.0000 4.8912
Cs Li As Se
1 1 1 2
Direct
0.0000 0.0000 0.0000
0.5000 0.5000 0.5000
0.5000 0.5000 0.0000
0.0000 0.5000 0.5000
0.5000 0.0000 0.5000
```

[17]
A plane-wave DFT calculation with GGA-PBE was carried out for SrIn3Hg after structural relaxation.

## Properties
The space-group type is No. 107. The formation energy is -308.6 meV per atom. As for the density of states at the Fermi level: 0.32 states/eV/atom. For the energy above the most stable polymorph in this dataset, the calculation gives 0.0 meV per atom.

Structure (POSCAR):
```
SrIn3Hg
1.0
4.7473 0.0000 0.0000
0.0000 4.7473 0.0000
0.0000 0.0000 12.8494
Sr In Hg
2 6 2
Direct
0.0000 0.0000 0.0000
0.5000 0.5000 0.5000
0.0000 0.0000 0.3831
0.0000 0.5000 0.2407
0.0000 0.5000 0.7407
0.5000 0.0000 0.2407
0.5000 0.0000 0.7407
0.5000 0.5000 0.8831
0.0000 0.0000 0.6004
0.5000 0.5000 0.1004
```

[18]
A plane-wave DFT calculation with GGA-PBE was carried out for Rb5Tl4Pt after structural relaxation.

## Properties
The space-group type is No. 12. The formation energy is -54.2 meV per atom. As for the density of states at the Fermi level: 0.85 states/eV/atom.

Structure (POSCAR):
```
Rb5Tl4Pt
1.0
11.6604 -2.3685 0.0000
11.6604 2.3685 0.0000
-3.8355 0.0000 8.7847
Rb Tl Pt
5 4 1
Direct
0.0000 0.0000 0.0000
0.3051 0.3051 0.7045
0.3574 0.3574 0.2038
0.6426 0.6426 0.7962
0.6949 0.6949 0.2955
0.1208 0.1208 0.4761
0.4760 0.4760 0.6472
0.5240 0.5240 0.3528
0.8792 0.8792 0.5239
0.0000 0.0000 0.5000
```

[19]
A plane-wave DFT calculation with GGA-PBE was carried out for KBaOF after structural relaxation.

## Properties
The calculation puts the uncorrected formation energy at -2.55 eV per atom. The space-group type is No. 160. As for the density of states at the Fermi level: 0.00 states/eV/atom.

Structure (POSCAR):
```
KBaOF
1.0
3.9722 0.0000 0.0000
-1.9861 3.4401 0.0000
0.0000 0.0000 19.2803
K Ba O F
3 3 3 3
Direct
0.0000 0.0000 0.0000
0.3333 0.6667 0.6667
0.6667 0.3333 0.3333
0.0000 0.0000 0.5116
0.3333 0.6667 0.1782
0.6667 0.3333 0.8449
0.0000 0.0000 0.2397
0.3333 0.6667 0.9064
0.6667 0.3333 0.5731
0.0000 0.0000 0.7524
0.3333 0.6667 0.4190
0.6667 0.3333 0.0857
```

[20]
A plane-wave DFT calculation with GGA-PBE was carried out for CeAlCu2Ni2 after structural relaxation.

## Properties
The space-group type is No. 38. The formation energy is -290.2 meV per atom. As for the density of states at the Fermi level: 1.25 states/eV/atom. For the energy above the most stable polymorph in this dataset, the calculation gives 77.1 meV per atom.

Structure (POSCAR):
```
CeAlCu2Ni2
1.0
3.9548 0.0000 0.0000
0.0000 5.1703 0.0000
0.0000 0.0000 8.9512
Ce Al Cu Ni
2 2 4 4
Direct
0.0000 0.0000 0.0000
0.0000 0.5000 0.5000
0.0000 0.0000 0.3314
0.0000 0.5000 0.8314
0.0000 0.0000 0.6712
0.0000 0.5000 0.1712
0.5000 0.0000 0.5066
0.5000 0.5000 0.0066
0.5000 0.2488 0.7567
0.5000 0.2512 0.2567
0.5000 0.7488 0.2567
0.5000 0.7512 0.7567
```

| no. | spin magnetization (Bohr magnetons per cell) |
| --- | --- |
| 1 | 5.447 |
| 2 | 0.000 |
| 3 | 0.000 |
| 4 | 0.000 |
| 5 | 0.000 |
| 6 | 0.000 |
| 7 | 0.010 |
| 8 | 0.001 |
| 9 | 0.000 |
| 10 | 0.002 |
| 11 | 0.000 |
| 12 | 0.000 |
| 13 | 0.000 |
| 14 | 8.856 |
| 15 | 0.000 |
| 16 | 0.000 |
| 17 | 0.000 |
| 18 | 0.000 |
| 19 | 0.026 |
| 20 | 1.166 |